A plane-wave DFT calculation with PBE-GGA was carried out for a relaxed structure of NaPuSbAu.

a = 5.1939 Å, b = 5.1939 Å, c = 5.1939 Å
α = 60.00°, β = 60.00°, γ = 60.00°
Last column: nearest neighbours and their distance in Å.
Element x y z (fractional)
Na (0.0000, 0.0000, 0.0000)  4 Sb 3.18, 4 Au 3.18
Pu (0.5000, 0.5000, 0.5000)  4 Sb 3.18, 4 Au 3.18
Sb (0.2500, 0.2500, 0.2500)  4 Pu 3.18, 4 Na 3.18
Au (0.7500, 0.7500, 0.7500)  4 Pu 3.18, 4 Na 3.18

Results
As for the uncorrected formation energy: -42.4 kJ per mole of atoms. For the density of states at the Fermi level, the calculation gives 14.2 states/eV/f.u. As for the space group: F-43m.

A plane-wave DFT calculation with PBE-GGA was carried out for a relaxed structure of Na4Pu3AuSe8.

a = 8.4579 Å, b = 8.4579 Å, c = 8.4300 Å
α = 119.44°, β = 119.44°, γ = 57.55°
Last column: nearest neighbours and their distance in Å.
Element x y z (fractional)
Na (0.0000, 0.0000, 0.0000)  2 Se 2.83
Na (0.0000, 0.5000, 0.0000)  6 Se 2.99-3.21
Na (0.5000, 0.0000, 0.0000)  6 Se 2.99-3.21
Na (0.5000, 0.5000, 0.0000)  6 Se 2.99-3.19
Pu (0.0000, 0.0000, 0.5000)  6 Se 2.90-2.95
Pu (0.0000, 0.5000, 0.5000)  6 Se 2.83-2.95
Pu (0.5000, 0.0000, 0.5000)  6 Se 2.83-2.95
Au (0.5000, 0.5000, 0.5000)  4 Se 2.67
Se (0.2304, 0.2304, 0.2491)  2 Pu 2.83, 3 Na 2.83-3.05
Se (0.2400, 0.2400, 0.7313)  3 Pu 2.88-2.95, 3 Na 2.99-3.19
Se (0.2581, 0.7205, 0.7143)  1 Au 2.67, 2 Pu 2.90-2.95, 1 Na 2.99
Se (0.2795, 0.7419, 0.2857)  1 Au 2.67, 2 Pu 2.90-2.95, 1 Na 2.99
Se (0.7205, 0.2581, 0.7143)  1 Au 2.67, 2 Pu 2.90-2.95, 1 Na 2.99
Se (0.7419, 0.2795, 0.2857)  1 Au 2.67, 2 Pu 2.90-2.95, 1 Na 2.99
Se (0.7600, 0.7600, 0.2687)  3 Pu 2.88-2.95, 3 Na 2.99-3.19
Se (0.7696, 0.7696, 0.7509)  2 Pu 2.83, 3 Na 2.83-3.05

Results
As for the uncorrected formation energy: -107.9 kJ per mole of atoms. For the density of states at the Fermi level, the calculation gives 31.9 states/eV/f.u. As for the space group: C2/m.

A plane-wave DFT calculation with PBE-GGA was carried out for a relaxed structure of Na3Pu2AuSe6.

a = 7.0766 Å, b = 7.0766 Å, c = 7.3933 Å
α = 99.17°, β = 99.17°, γ = 119.82°
Last column: nearest neighbours and their distance in Å.
Element x y z (fractional)
Na (0.0000, 0.0000, 0.0000)  6 Se 3.00-3.04
Na (0.3384, 0.6616, 0.0000)  6 Se 3.01-3.04
Na (0.6616, 0.3384, 0.0000)  6 Se 3.01-3.04
Pu (0.1673, 0.8327, 0.5000)  6 Se 2.84
Pu (0.8327, 0.1673, 0.5000)  6 Se 2.84
Au (0.5000, 0.5000, 0.5000)  6 Se 2.89
Se (0.0851, 0.4232, 0.2703)  2 Pu 2.84, 1 Au 2.89, 3 Na 3.04
Se (0.2371, 0.2371, 0.7286)  2 Pu 2.84, 1 Au 2.89, 3 Na 3.00-3.01
Se (0.4232, 0.0851, 0.2703)  2 Pu 2.84, 1 Au 2.89, 3 Na 3.04
Se (0.5768, 0.9149, 0.7297)  2 Pu 2.84, 1 Au 2.89, 3 Na 3.04
Se (0.7629, 0.7629, 0.2714)  2 Pu 2.84, 1 Au 2.89, 3 Na 3.00-3.01
Se (0.9149, 0.5768, 0.7297)  2 Pu 2.84, 1 Au 2.89, 3 Na 3.04

Results
As for the uncorrected formation energy: -101.6 kJ per mole of atoms. For the density of states at the Fermi level, the calculation gives 14.8 states/eV/f.u. As for the space group: C2/m.

A plane-wave DFT calculation with PBE-GGA was carried out for a relaxed structure of NaSm2PuAu4.

a = 8.8709 Å, b = 8.8709 Å, c = 8.8709 Å
α = 33.71°, β = 33.71°, γ = 33.71°
Last column: nearest neighbours and their distance in Å.
Element x y z (fractional)
Na (0.0000, 0.0000, 0.0000)  8 Au 3.18-3.24
Sm (0.2544, 0.2544, 0.2544)  8 Au 3.09-3.23
Sm (0.7456, 0.7456, 0.7456)  8 Au 3.09-3.23
Pu (0.5000, 0.5000, 0.5000)  8 Au 3.05-3.11
Au (0.1293, 0.1293, 0.1293)  3 Pu 3.11, 4 Sm 3.14-3.23, 1 Na 3.24
Au (0.3785, 0.3785, 0.3785)  1 Pu 3.05, 4 Sm 3.09-3.11, 3 Na 3.18
Au (0.6215, 0.6215, 0.6215)  1 Pu 3.05, 4 Sm 3.09-3.11, 3 Na 3.18
Au (0.8707, 0.8707, 0.8707)  3 Pu 3.11, 4 Sm 3.14-3.23, 1 Na 3.24

Results
The energy of formation comes out at -0.5954 eV per atom. For the density of states at the Fermi level, the calculation gives 12.3 states/eV/f.u. As for the space group: R-3m.

A plane-wave DFT calculation with PBE-GGA was carried out for a relaxed structure of NaPu2Sn2Au2.

a = 9.4844 Å, b = 9.4844 Å, c = 9.4844 Å
α = 29.26°, β = 29.26°, γ = 29.26°
Last column: nearest neighbours and their distance in Å.
Element x y z (fractional)
Na (0.0000, 0.0000, 0.0000)  6 Sn 3.38
Pu (0.1415, 0.1415, 0.1415)  3 Au 3.00, 3 Pu 3.09, 4 Sn 3.27-3.36
Pu (0.8585, 0.8585, 0.8585)  3 Au 3.00, 3 Pu 3.09, 4 Sn 3.27-3.36
Sn (0.2618, 0.2618, 0.2618)  3 Au 2.86
Sn (0.7382, 0.7382, 0.7382)  3 Au 2.86
Au (0.4319, 0.4319, 0.4319)  3 Sn 2.86, 3 Pu 3.00
Au (0.5681, 0.5681, 0.5681)  3 Sn 2.86, 3 Pu 3.00

Results
The energy of formation comes out at -0.2615 eV per atom. For the density of states at the Fermi level, the calculation gives 16.9 states/eV/f.u. As for the space group: R-3m.

A plane-wave DFT calculation with PBE-GGA was carried out for a relaxed structure of NaPuSnAu.

a = 5.1750 Å, b = 5.1750 Å, c = 5.1750 Å
α = 60.00°, β = 60.00°, γ = 60.00°
Last column: nearest neighbours and their distance in Å.
Element x y z (fractional)
Na (0.0000, 0.0000, 0.0000)  4 Sn 3.17, 4 Au 3.17
Pu (0.5000, 0.5000, 0.5000)  4 Au 3.17, 4 Sn 3.17
Sn (0.2500, 0.2500, 0.2500)  4 Pu 3.17, 4 Na 3.17
Au (0.7500, 0.7500, 0.7500)  4 Pu 3.17, 4 Na 3.17

Results
The energy of formation comes out at -0.2327 eV per atom. For the density of states at the Fermi level, the calculation gives 13.3 states/eV/f.u. As for the space group: F-43m.

A plane-wave DFT calculation with PBE-GGA was carried out for a relaxed structure of NaPuTlAu.

a = 5.2145 Å, b = 5.2145 Å, c = 5.2145 Å
α = 60.00°, β = 60.00°, γ = 60.00°
Last column: nearest neighbours and their distance in Å.
Element x y z (fractional)
Na (0.0000, 0.0000, 0.0000)  4 Tl 3.19, 4 Au 3.19
Pu (0.5000, 0.5000, 0.5000)  4 Tl 3.19, 4 Au 3.19
Tl (0.7500, 0.7500, 0.7500)  4 Na 3.19, 4 Pu 3.19
Au (0.2500, 0.2500, 0.2500)  4 Na 3.19, 4 Pu 3.19

Results
The offset from the most stable computed form comes out at 85 meV/atom. The energy of formation comes out at -0.1084 eV per atom. For the density of states at the Fermi level, the calculation gives 14.0 states/eV/f.u. As for the space group: F-43m.

A plane-wave DFT calculation with PBE-GGA was carried out for a relaxed structure of NaPuTlAu.

a = 3.5338 Å, b = 3.5338 Å, c = 8.1607 Å
α = 90.00°, β = 90.00°, γ = 90.00°
Last column: nearest neighbours and their distance in Å.
Element x y z (fractional)
Na (0.0000, 0.0000, 0.0000)  4 Au 3.13, 4 Tl 3.34
Pu (0.0000, 0.0000, 0.5484)  4 Au 3.08, 4 Tl 3.37
Tl (0.5000, 0.5000, 0.2714)  4 Na 3.34, 4 Pu 3.37, 4 Tl 3.53
Au (0.5000, 0.5000, 0.7695)  4 Pu 3.08, 4 Na 3.13

Results
The offset from the most stable computed form comes out at 0 meV/atom. The energy of formation comes out at -0.1937 eV per atom. For the density of states at the Fermi level, the calculation gives 9.2 states/eV/f.u. As for the space group: P4mm.

A plane-wave DFT calculation with PBE-GGA was carried out for a relaxed structure of Rb4NaAu4.

a = 8.8373 Å, b = 8.8373 Å, c = 8.8373 Å
α = 131.68°, β = 131.68°, γ = 70.74°
Last column: nearest neighbours and their distance in Å.
Element x y z (fractional)
Rb (0.1468, 0.1468, 0.5681)  1 Na 3.52, 6 Au 3.52-3.74
Rb (0.4213, 0.8532, 0.0000)  1 Na 3.52, 6 Au 3.52-3.74
Rb (0.5787, 0.5787, 0.4319)  1 Na 3.52, 6 Au 3.52-3.74
Rb (0.8532, 0.4213, 0.0000)  1 Na 3.52, 6 Au 3.52-3.74
Na (0.0000, 0.0000, 0.0000)  4 Au 2.91
Au (0.1105, 0.6515, 0.0000)  1 Na 2.91
Au (0.3485, 0.3485, 0.4589)  1 Na 2.91
Au (0.6515, 0.1105, 0.0000)  1 Na 2.91
Au (0.8895, 0.8895, 0.5411)  1 Na 2.91

Results
The energy of formation comes out at -0.2157 eV per atom. For the density of states at the Fermi level, the calculation gives 3.4 states/eV/f.u. As for the space group: I-42m.

A plane-wave DFT calculation with PBE-GGA was carried out for a relaxed structure of Rb2NaAu2.

a = 7.0886 Å, b = 7.0886 Å, c = 8.7112 Å
α = 100.41°, β = 100.41°, γ = 58.71°
Last column: nearest neighbours and their distance in Å.
Element x y z (fractional)
Rb (0.0064, 0.2884, 0.1382)  6 Au 3.53-3.87, 1 Na 3.76
Rb (0.2884, 0.0064, 0.6382)  6 Au 3.53-3.87, 1 Na 3.76
Rb (0.7116, 0.9936, 0.3618)  6 Au 3.53-3.87, 1 Na 3.76
Rb (0.9936, 0.7116, 0.8618)  6 Au 3.53-3.87, 1 Na 3.76
Na (0.4249, 0.5751, 0.2500)  4 Au 3.05-3.09
Na (0.5751, 0.4249, 0.7500)  4 Au 3.05-3.09
Au (0.1967, 0.5089, 0.4899)  1 Au 2.89, 2 Na 3.05-3.09
Au (0.4911, 0.8033, 0.0101)  1 Au 2.89, 2 Na 3.05-3.09
Au (0.5089, 0.1967, 0.9899)  1 Au 2.89, 2 Na 3.05-3.09
Au (0.8033, 0.4911, 0.5101)  1 Au 2.89, 2 Na 3.05-3.09

Results
The offset from the most stable computed form comes out at 0 meV/atom. The energy of formation comes out at -0.2563 eV per atom. For the density of states at the Fermi level, the calculation gives 1.7 states/eV/f.u. As for the space group: C2/c.

A plane-wave DFT calculation with PBE-GGA was carried out for a relaxed structure of Rb4NaAu2.

a = 11.2213 Å, b = 11.2213 Å, c = 11.2213 Å
α = 31.37°, β = 31.37°, γ = 31.37°
Last column: nearest neighbours and their distance in Å.
Element x y z (fractional)
Rb (0.1095, 0.1095, 0.1095)  3 Au 3.70, 3 Na 3.95, 3 Rb 4.14
Rb (0.2931, 0.2931, 0.2931)  4 Au 3.59-3.65
Rb (0.7069, 0.7069, 0.7069)  4 Au 3.59-3.65
Rb (0.8905, 0.8905, 0.8905)  3 Au 3.70, 3 Na 3.95, 3 Rb 4.14
Na (0.5000, 0.5000, 0.5000)  2 Au 3.03
Au (0.4053, 0.4053, 0.4053)  1 Na 3.03
Au (0.5947, 0.5947, 0.5947)  1 Na 3.03

Results
The offset from the most stable computed form comes out at 0 meV/atom. The energy of formation comes out at -0.1547 eV per atom. For the density of states at the Fermi level, the calculation gives 4.4 states/eV/f.u. As for the space group: R-3m.

A plane-wave DFT calculation with PBE-GGA was carried out for a relaxed structure of Rb2NaAu2.

a = 6.8189 Å, b = 6.8189 Å, c = 4.7060 Å
α = 110.11°, β = 110.11°, γ = 62.88°
Last column: nearest neighbours and their distance in Å.
Element x y z (fractional)
Rb (0.2054, 0.2054, 0.2049)  6 Au 3.54-3.76, 2 Na 3.92-3.93
Rb (0.7946, 0.7946, 0.7951)  6 Au 3.54-3.76, 2 Na 3.92-3.93
Na (0.5000, 0.5000, 0.0000)  4 Au 3.13
Au (0.2094, 0.7906, 0.5000)  1 Au 2.98, 2 Na 3.13
Au (0.7906, 0.2094, 0.5000)  1 Au 2.98, 2 Na 3.13

Results
The offset from the most stable computed form comes out at 8 meV/atom. The energy of formation comes out at -0.2484 eV per atom. For the density of states at the Fermi level, the calculation gives 1.7 states/eV/f.u. As for the space group: C2/m.